Entry 1:
This record from Alexandria describes a relaxed structure of ScTlPb2. The functional is PBE.

energy of formation from the pure elements	-33	kJ/mol of formula units
magnetic moment	0.000	μB per atom
theoretical density	10.1	Mg/m³

a = 6.2178 Å, b = 6.2178 Å, c = 6.2178 Å
α = 137.43°, β = 137.43°, γ = 61.78°
Closest atoms and distances in Å follow each position.
Positions (direct):
Sc 0.0000 0.0000 0.0000  8 Pb 3.19-3.49, 4 Tl 3.49
Tl 0.2500 0.7500 0.5000  8 Pb 3.19-3.49, 4 Sc 3.49
Pb 0.5000 0.5000 0.0000  4 Sc 3.19, 4 Tl 3.49, 4 Pb 3.49
Pb 0.7500 0.2500 0.5000  4 Tl 3.19, 4 Pb 3.49, 4 Sc 3.49


Entry 2:
This record from Alexandria describes a relaxed structure of ScTlPb2. The functional is PBE.

energy of formation from the pure elements	-29	kJ/mol of formula units
magnetic moment	0.000	μB per atom
theoretical density	10.0	Mg/m³

a = 3.6756 Å, b = 4.4855 Å, c = 6.6808 Å
α = 90.00°, β = 93.76°, γ = 90.00°
Closest atoms and distances in Å follow each position.
Positions (direct):
Sc 0.0000 0.0000 0.0000  6 Pb 3.18-3.34, 4 Tl 3.21-3.49
Tl 0.4590 0.5000 0.2502  5 Pb 3.14-3.38, 4 Sc 3.21-3.49
Pb 0.5047 0.5000 0.7819  1 Tl 3.14, 4 Sc 3.18-3.31, 4 Pb 3.46
Pb 0.9718 0.0000 0.4992  4 Tl 3.31-3.38, 2 Sc 3.34, 6 Pb 3.46-3.68


Entry 3:
This record from Alexandria describes a relaxed structure of ScTlPb. The functional is PBE.

energy of formation from the pure elements	-52	kJ/mol of formula units
energy above the lowest structure with this stoichiometry	0.017	eV per atom
magnetic moment	0.000	μB per atom
theoretical density	9.8	Mg/m³

a = 4.5027 Å, b = 7.5683 Å, c = 7.5683 Å
α = 36.74°, β = 90.00°, γ = 90.00°
Closest atoms and distances in Å follow each position.
Positions (direct):
Sc 0.0000 0.0000 0.0000  4 Pb 3.12-3.32, 6 Tl 3.19-3.30
Sc 0.0000 0.3020 0.3020  6 Pb 3.13-3.30, 4 Tl 3.25-3.36
Tl 0.0000 0.6479 0.6479  4 Sc 3.19-3.25, 6 Pb 3.28-3.45, 2 Tl 3.34
Tl 0.5000 0.4760 0.4760  4 Pb 3.18-3.46, 6 Sc 3.30-3.36, 2 Tl 3.34
Pb 0.5000 0.1509 0.1509  4 Sc 3.12-3.13, 6 Tl 3.28-3.46
Pb 0.5000 0.8300 0.8300  4 Tl 3.18-3.45, 6 Sc 3.30-3.32, 2 Pb 3.51


Entry 4:
This record from Alexandria describes a relaxed structure of Sc2Tl2Pb. The functional is PBE.

energy of formation from the pure elements	59	kJ/mol of formula units
energy above the lowest structure with this stoichiometry	0.261	eV per atom
magnetic moment	0.117	μB per atom
theoretical density	8.2	Mg/m³

a = 7.3037 Å, b = 7.3037 Å, c = 7.3037 Å
α = 142.50°, β = 142.50°, γ = 54.08°
Closest atoms and distances in Å follow each position.
Positions (direct):
Sc 0.2500 0.7500 0.5000  4 Tl 2.98, 4 Sc 3.32
Sc 0.7500 0.2500 0.5000  4 Tl 2.98, 4 Sc 3.32
Tl 0.1087 0.1087 0.0000  1 Tl 2.83, 4 Sc 2.98
Tl 0.8913 0.8913 0.0000  1 Tl 2.83, 4 Sc 2.98
Pb 0.5000 0.5000 0.0000  8 Tl 3.61, 8 Sc 4.01


Entry 5:
This record from Alexandria describes a relaxed structure of ScTlPb2. The functional is PBE.

energy of formation from the pure elements	-35	kJ/mol of formula units
magnetic moment	0.000	μB per atom
theoretical density	10.0	Mg/m³

a = 6.4845 Å, b = 6.4845 Å, c = 6.4845 Å
α = 147.90°, β = 130.16°, γ = 60.53°
Closest atoms and distances in Å follow each position.
Positions (direct):
Sc 0.0000 0.0000 0.0000  2 Tl 3.15, 6 Pb 3.20-3.27
Tl 0.7693 0.2693 0.5000  2 Sc 3.15, 6 Pb 3.29-3.45
Pb 0.2368 0.7368 0.5000  2 Sc 3.20, 4 Tl 3.29, 2 Pb 3.51
Pb 0.5064 0.5064 0.0000  4 Sc 3.27, 2 Tl 3.45, 4 Pb 3.51-3.59


Entry 6:
This record from Alexandria describes a relaxed structure of Sc6TlPb. The functional is PBE.

energy of formation from the pure elements	-188	kJ/mol of formula units
energy above the lowest structure with this stoichiometry	0.000	eV per atom
magnetic moment	0.508	μB per atom
theoretical density	6.0	Mg/m³

a = 4.5404 Å, b = 4.5404 Å, c = 9.0929 Å
α = 90.00°, β = 90.00°, γ = 90.00°
Closest atoms and distances in Å follow each position.
Positions (direct):
Sc 0.0000 0.0000 0.0000  8 Sc 3.20, 4 Tl 3.21
Sc 0.0000 0.0000 0.5000  4 Pb 3.21, 8 Sc 3.23
Sc 0.0000 0.5000 0.2476  2 Tl 3.20, 8 Sc 3.20-3.23, 2 Pb 3.23
Sc 0.0000 0.5000 0.7524  2 Tl 3.20, 8 Sc 3.20-3.23, 2 Pb 3.23
Sc 0.5000 0.0000 0.2476  2 Tl 3.20, 8 Sc 3.20-3.23, 2 Pb 3.23
Sc 0.5000 0.0000 0.7524  2 Tl 3.20, 8 Sc 3.20-3.23, 2 Pb 3.23
Tl 0.5000 0.5000 0.0000  12 Sc 3.20-3.21
Pb 0.5000 0.5000 0.5000  12 Sc 3.21-3.23